11
Lattice="0.0000 5.2347 8.6491 3.1624 0.0000 8.6491 3.1624 5.2347 0.0000" Properties=species:S:1:pos:R:3 comment="Ac2In5Au4 PBE optimized geometry" e_form_ev_per_fu=-4.9 vol_a3_per_atom=26.0 dos_ef_per_ev_cell=4.60 sg="Fmmm, No. 69" pbc="T T T"
Ac 3.1624 5.2347 2.2566
Ac 3.1624 5.2347 15.0416
In 1.5812 2.6174 0.0000
In 1.5812 2.6174 4.3245
In 1.5812 2.6174 8.6491
In 3.1624 5.2347 8.6491
In 4.7435 7.8521 12.9736
Au 3.1624 3.7779 6.2633
Au 3.1624 3.7779 11.0348
Au 3.1624 6.6915 6.2633
Au 3.1624 6.6915 11.0348